Entry from Alexandria: Ho2ThSc3 after structural relaxation (PBE).

Structure (extended XYZ):
```
12
Lattice="-3.717 -9.988 -0.877 2.248 -6.100 -5.242 3.929 -7.284 1.117" Properties=species:S:1:pos:R:3 pbc="T T T"
Ho -2.167 -13.334 -1.909
Sc 0.302 -5.584 -2.875
Th 3.088 -6.692 -2.062
Ho 2.779 -15.035 -3.534
Sc 2.158 -17.788 -2.126
Th 0.000 0.000 0.000
Sc 1.143 -6.176 0.304
Sc 1.650 -11.982 -0.911
Sc 1.317 -17.196 -5.306
Ho -0.319 -8.337 -1.468
Sc 0.810 -11.390 -4.091
Ho 4.627 -10.038 -3.092
```

Calculated values
- Total DFT energy (no corrections): -64.27 eV per cell
- Space-group type: No. 72